Record 1
Below is crystalline KInCl3 at its relaxed geometry, with properties calculated at the PBE level.

abc: 5.853 5.853 5.853
angles: 90.00 90.00 90.00
Each line ends with the local moment (μB).
Fractional positions:
1 Cl 0.000 0.500 0.000  0.30
2 Cl 0.500 0.000 0.000  0.24
3 Cl 0.000 0.000 0.500  0.21
4 In 0.500 0.500 0.500  0.00
5 K 0.000 0.000 0.000  0.00

* space-group type: No. 221
* energy relative to the elements, uncorrected: -0.71 eV per atom

=====

Record 2
Below is crystalline SrAcSc at its relaxed geometry, with properties calculated at the PBE level.

abc: 4.016 4.016 7.900
angles: 104.73 104.73 90.00
Fractional positions:
1 Ac 0.312 0.312 0.623
2 Sr 0.015 0.015 0.030
3 Sc 0.673 0.673 0.346

* space-group type: No. 107
* excess energy over the best structure of this formula in the dataset: 0.113 eV per atom

=====

Record 3
Below is crystalline Sm4In5Sn2 at its relaxed geometry, with properties calculated at the PBE level.

abc: 3.489 8.205 10.519
angles: 94.89 90.00 90.00
Fractional positions:
1 Sm 0.500 0.829 0.115
2 Sm 0.500 0.723 0.559
3 Sm 0.500 0.277 0.441
4 Sm 0.500 0.171 0.885
5 In 0.000 0.445 0.704
6 In 0.000 0.806 0.841
7 In 0.000 0.555 0.296
8 In 0.000 0.194 0.159
9 In 0.000 0.500 0.000
10 Sn 0.000 0.937 0.363
11 Sn 0.000 0.063 0.637

* space-group type: No. 10
* electronic total energy: -4.15 eV/atom

=====

These records have density of states at the Fermi level values of 13.4 4.0 6.7 states/eV per cell, in the order they appear.
These records have theoretical density values of 2155 5022 7819 kg/m3, in the order they appear.
These records have magnetization values of 0.20 0.00 0.00 μB per atom, in the order they appear.